Version P
A plane-wave DFT calculation with PBE-GGA was carried out for a relaxed TbTm2S crystal.

It has space group R-3m (No. 166, hexagonal axes), with a = 3.5940 Å, b = 3.5940 Å, c = 29.9724 Å, α = 90.00°, β = 90.00° and γ = 120.00°. The asymmetric unit holds Tb at (0.0000, 0.0000, 0.0000), Tm at (0.0000, 0.0000, 0.1120) and S at (0.0000, 0.0000, 0.5000).

Its density of states at the Fermi level is 13.3 states/eV per cell.

***

Version Q
A plane-wave DFT calculation with PBE-GGA was carried out for a relaxed TbTm2S crystal.

It has space group R3m (No. 160, hexagonal axes), with a = 3.6705 Å, b = 3.6705 Å, c = 27.3980 Å, α = 90.00°, β = 90.00° and γ = 120.00°. The asymmetric unit holds Tb at (0.0000, 0.0000, 0.0000), Tm at (0.0000, 0.0000, 0.5619), Tm at (0.0000, 0.0000, 0.7727) and S at (0.0000, 0.0000, 0.1672).

Its density of states at the Fermi level is 8.3 states/eV per cell.

***

It is version Q that is the most stable of them.

***

Version P
A plane-wave DFT calculation with PBE-GGA was carried out for a relaxed Tb3TmS4 crystal.

It has space group Pm-3m (No. 221), with a = 5.525 Å, b = 5.525 Å, c = 5.525 Å, α = 90.00°, β = 90.00° and γ = 90.00°. The asymmetric unit holds Tb at (0.000, 0.000, 0.500), Tm at (0.500, 0.500, 0.500), S at (0.000, 0.000, 0.000) and S at (0.000, 0.500, 0.500).

Its density of states at the Fermi level is 4.4 states/eV per cell.

***

Version Q
A plane-wave DFT calculation with PBE-GGA was carried out for a relaxed Tb3TmS4 crystal.

It has space group Cmmm (No. 65), with a = 7.876 Å, b = 11.053 Å, c = 3.872 Å, α = 90.00°, β = 90.00° and γ = 90.00°. The asymmetric unit holds Tb at (0.000, 0.000, 0.000), Tb at (0.250, 0.250, 0.500), Tm at (0.000, 0.500, 0.000), S at (0.000, 0.253, 0.000) and S at (0.244, 0.500, 0.500).

Its density of states at the Fermi level is 9.9 states/eV per cell.

***

It is version Q that is the most stable of them.

***

Version P
A plane-wave DFT calculation with PBE-GGA was carried out for a relaxed TbTmS2 crystal.

It has space group R3m (No. 160, hexagonal axes), with a = 3.8081 Å, b = 3.8081 Å, c = 20.1360 Å, α = 90.00°, β = 90.00° and γ = 120.00°. The asymmetric unit holds Tb at (0.0000, 0.0000, 0.0000), Tm at (0.0000, 0.0000, 0.1782), S at (0.0000, 0.0000, 0.5851) and S at (0.0000, 0.0000, 0.7593).

Its density of states at the Fermi level is 1.8 states/eV per cell.

***

Version Q
A plane-wave DFT calculation with PBE-GGA was carried out for a relaxed TbTmS2 crystal.

It has space group C2/m (No. 12), with a = 6.713 Å, b = 3.891 Å, c = 6.734 Å, α = 90.00°, β = 109.56° and γ = 90.00°. The asymmetric unit holds Tb at (0.000, 0.000, 0.000), Tm at (0.000, 0.500, 0.500) and S at (0.247, 0.000, 0.741).

Its density of states at the Fermi level is 3.0 states/eV per cell.

***

It is version Q that is the most stable of them.

***

Version P
A plane-wave DFT calculation with PBE-GGA was carried out for a relaxed TbTm3S4 crystal.

It has space group Cmmm (No. 65), with a = 7.793 Å, b = 10.932 Å, c = 3.827 Å, α = 90.00°, β = 90.00° and γ = 90.00°. The asymmetric unit holds Tb at (0.000, 0.000, 0.000), Tm at (0.000, 0.500, 0.000), Tm at (0.250, 0.250, 0.500), S at (0.000, 0.253, 0.000) and S at (0.244, 0.500, 0.500).

Its density of states at the Fermi level is 9.7 states/eV per cell.

***

Version Q
A plane-wave DFT calculation with PBE-GGA was carried out for a relaxed TbTm3S4 crystal.

It has space group Pm-3m (No. 221), with a = 5.465 Å, b = 5.465 Å, c = 5.465 Å, α = 90.00°, β = 90.00° and γ = 90.00°. The asymmetric unit holds Tb at (0.000, 0.000, 0.000), Tm at (0.000, 0.500, 0.500), S at (0.000, 0.000, 0.500) and S at (0.500, 0.500, 0.500).

Its density of states at the Fermi level is 4.5 states/eV per cell.

***

It is version P that is the most stable of them.

***

Version P
A plane-wave DFT calculation with PBE-GGA was carried out for a relaxed TbUS2 crystal.

It has space group R-3m (No. 166, hexagonal axes), with a = 3.8510 Å, b = 3.8510 Å, c = 19.5682 Å, α = 90.00°, β = 90.00° and γ = 120.00°. The asymmetric unit holds Tb at (0.0000, 0.0000, 0.0000), U at (0.0000, 0.0000, 0.5000) and S at (0.0000, 0.0000, 0.2500).

Its density of states at the Fermi level is 14.8 states/eV per cell.

***

Version Q
A plane-wave DFT calculation with PBE-GGA was carried out for a relaxed TbUS2 crystal.

It has space group R3m (No. 160, hexagonal axes), with a = 3.7575 Å, b = 3.7575 Å, c = 21.0255 Å, α = 90.00°, β = 90.00° and γ = 120.00°. The asymmetric unit holds Tb at (0.0000, 0.0000, 0.0000), U at (0.0000, 0.0000, 0.8240), S at (0.0000, 0.0000, 0.4101) and S at (0.0000, 0.0000, 0.5805).

Its density of states at the Fermi level is 8.2 states/eV per cell.

***

It is version P that is the most stable of them.

***

Version P
A plane-wave DFT calculation with PBE-GGA was carried out for a relaxed TbU6S8 crystal.

It has space group R-3 (No. 148, hexagonal axes), with a = 8.2344 Å, b = 8.2344 Å, c = 16.5119 Å, α = 90.00°, β = 90.00° and γ = 120.00°. The asymmetric unit holds Tb at (0.0000, 0.0000, 0.0000), U at (0.0017, 0.6182, 0.9207), S at (0.0000, 0.0000, 0.3317) and S at (0.0052, 0.7245, 0.0893).

Its density of states at the Fermi level is 100.8 states/eV per cell.

***

Version Q
A plane-wave DFT calculation with PBE-GGA was carried out for a relaxed TbU6S8 crystal.

It has space group Fm-3m (No. 225), with a = 10.912 Å, b = 10.912 Å, c = 10.912 Å, α = 90.00°, β = 90.00° and γ = 90.00°. The asymmetric unit holds Tb at (0.000, 0.000, 0.000), U at (0.000, 0.250, 0.250), S at (0.000, 0.000, 0.255) and S at (0.250, 0.250, 0.250).

Its density of states at the Fermi level is 139.0 states/eV per cell.

***

It is version Q that is the most stable of them.

***

Version P
A plane-wave DFT calculation with PBE-GGA was carried out for a relaxed TbU2S6 crystal.

It has space group C2/m (No. 12), with a = 13.475 Å, b = 5.115 Å, c = 8.805 Å, α = 90.00°, β = 126.85° and γ = 90.00°. The asymmetric unit holds Tb at (0.000, 0.000, 0.000), U at (0.183, 0.000, 0.609), S at (0.038, 0.000, 0.721), S at (0.130, 0.500, 0.053) and S at (0.244, 0.500, 0.624).

Its density of states at the Fermi level is 20.7 states/eV per cell.

***

Version Q
A plane-wave DFT calculation with PBE-GGA was carried out for a relaxed TbU2S6 crystal.

It has space group P-3 (No. 147), with a = 7.2322 Å, b = 7.2322 Å, c = 4.1185 Å, α = 90.00°, β = 90.00° and γ = 120.00°. The asymmetric unit holds Tb at (0.0000, 0.0000, 0.0000), U at (0.3333, 0.6667, 0.7725) and S at (0.0814, 0.3849, 0.2589).

Its density of states at the Fermi level is 10.8 states/eV per cell.

***

It is version Q that is the most stable of them.

***

Version P
A plane-wave DFT calculation with PBE-GGA was carried out for a relaxed Tb2U2S7 crystal.

It has space group Imm2 (No. 44), with a = 3.902 Å, b = 13.968 Å, c = 8.579 Å, α = 90.00°, β = 90.00° and γ = 90.00°. The asymmetric unit holds Tb at (0.000, 0.000, 0.000), Tb at (0.000, 0.500, 0.037), U at (0.000, 0.242, 0.242), S at (0.000, 0.000, 0.316), S at (0.000, 0.112, 0.721), S at (0.000, 0.314, 0.937) and S at (0.000, 0.359, 0.548).

Its density of states at the Fermi level is 25.2 states/eV per cell.

***

Version Q
A plane-wave DFT calculation with PBE-GGA was carried out for a relaxed Tb2U2S7 crystal.

It has space group Imm2 (No. 44), with a = 3.896 Å, b = 14.108 Å, c = 8.514 Å, α = 90.00°, β = 90.00° and γ = 90.00°. The asymmetric unit holds Tb at (0.000, 0.241, 0.000), U at (0.000, 0.000, 0.247), U at (0.000, 0.500, 0.199), S at (0.000, 0.000, 0.925), S at (0.000, 0.107, 0.524), S at (0.000, 0.317, 0.302) and S at (0.000, 0.368, 0.693).

Its density of states at the Fermi level is 19.0 states/eV per cell.

***

It is version Q that is the most stable of them.